A geometry-optimized Y2Er2Tm3Ni2Te2 structure, computed with PBE-GGA.

Computed properties:
ΔE to the lowest computed polymorph, eV per atom: 0.013
Symmetry: Imm2

a b c (Å): 9.303 9.303 9.303
angles (deg): 156.27 67.20 118.17
Positions (direct):
Tm 0.475 0.475 0.000
Tm 0.102 0.748 0.353
Er 0.762 0.895 0.867
Te 0.742 0.242 0.500
Te 0.141 0.141 0.000
Ni 0.164 0.402 0.762
Y 0.413 0.098 0.315
Y 0.783 0.098 0.685
Tm 0.395 0.748 0.647
Ni 0.640 0.402 0.238
Er 0.028 0.895 0.133


A geometry-optimized Y2Er2Tm3Ni2Te2 structure, computed with PBE-GGA.

Computed properties:
ΔE to the lowest computed polymorph, eV per atom: 0.000
Symmetry: Imm2

a b c (Å): 9.308 9.308 9.308
angles (deg): 156.24 67.00 118.39
Positions (direct):
Ni 0.144 0.406 0.739
Tm 0.912 0.097 0.816
Tm 0.281 0.097 0.184
Ni 0.667 0.406 0.261
Y 0.892 0.746 0.146
Te 0.641 0.141 0.500
Er 0.527 0.895 0.632
Er 0.263 0.895 0.368
Y 0.599 0.746 0.854
Tm 0.977 0.477 0.500
Te 0.241 0.241 0.000


A geometry-optimized Y4Er2TmNi2Te2 structure, computed with PBE-GGA.

Computed properties:
ΔE to the lowest computed polymorph, eV per atom: 0.008
Symmetry: Imm2

a b c (Å): 9.354 9.354 9.354
angles (deg): 156.30 67.30 118.05
Positions (direct):
Y 0.413 0.097 0.315
Te 0.739 0.239 0.500
Y 0.782 0.097 0.685
Ni 0.638 0.402 0.236
Y 0.027 0.896 0.131
Er 0.395 0.749 0.646
Te 0.143 0.143 0.000
Tm 0.476 0.476 0.000
Er 0.104 0.749 0.354
Y 0.765 0.896 0.869
Ni 0.165 0.402 0.764


A geometry-optimized YEr2Tm4Ni2Te2 structure, computed with PBE-GGA.

Computed properties:
ΔE to the lowest computed polymorph, eV per atom: 0.004
Symmetry: Imm2

a b c (Å): 9.261 9.261 9.261
angles (deg): 156.19 66.97 118.45
Positions (direct):
Er 0.412 0.097 0.315
Te 0.140 0.140 0.000
Ni 0.643 0.405 0.238
Tm 0.394 0.746 0.647
Tm 0.099 0.746 0.353
Te 0.743 0.243 0.500
Ni 0.166 0.405 0.762
Tm 0.762 0.895 0.867
Er 0.783 0.097 0.685
Y 0.477 0.477 0.000
Tm 0.028 0.895 0.133


A geometry-optimized Y2ErTm4Ni2Te2 structure, computed with PBE-GGA.

Computed properties:
ΔE to the lowest computed polymorph, eV per atom: 0.015
Symmetry: Imm2

a b c (Å): 9.317 9.317 9.317
angles (deg): 156.25 67.01 118.38
Positions (direct):
Tm 0.027 0.895 0.132
Tm 0.099 0.746 0.354
Y 0.781 0.097 0.684
Y 0.412 0.097 0.316
Tm 0.764 0.895 0.868
Tm 0.392 0.746 0.646
Ni 0.166 0.405 0.761
Er 0.477 0.477 0.000
Ni 0.644 0.405 0.239
Te 0.141 0.141 0.000
Te 0.742 0.242 0.500


A geometry-optimized YEr2Tm4Ni2Te2 structure, computed with PBE-GGA.

Computed properties:
ΔE to the lowest computed polymorph, eV per atom: 0.000
Symmetry: Imm2

a b c (Å): 9.274 9.274 9.274
angles (deg): 156.14 66.88 118.56
Positions (direct):
Tm 0.028 0.894 0.133
Er 0.098 0.746 0.352
Te 0.139 0.139 0.000
Ni 0.644 0.405 0.239
Te 0.743 0.243 0.500
Tm 0.761 0.894 0.867
Tm 0.783 0.098 0.685
Y 0.477 0.477 0.000
Tm 0.413 0.098 0.315
Er 0.394 0.746 0.648
Ni 0.167 0.405 0.761


A geometry-optimized Y3Er2Tm2Ni2Te2 structure, computed with PBE-GGA.

Computed properties:
ΔE to the lowest computed polymorph, eV per atom: 0.000
Symmetry: Imm2

a b c (Å): 9.308 9.308 9.308
angles (deg): 156.12 66.81 118.65
Positions (direct):
Te 0.242 0.242 0.000
Er 0.261 0.894 0.367
Ni 0.147 0.408 0.739
Tm 0.283 0.097 0.185
Y 0.978 0.478 0.500
Y 0.892 0.745 0.147
Er 0.527 0.894 0.633
Te 0.639 0.139 0.500
Y 0.598 0.745 0.853
Ni 0.668 0.408 0.261
Tm 0.912 0.097 0.815


A geometry-optimized Y4Er2TmNi2Te2 structure, computed with PBE-GGA.

Computed properties:
ΔE to the lowest computed polymorph, eV per atom: 0.000
Symmetry: Imm2

a b c (Å): 9.356 9.356 9.356
angles (deg): 156.26 66.93 118.46
Positions (direct):
Te 0.142 0.142 0.000
Er 0.412 0.097 0.316
Y 0.027 0.895 0.131
Er 0.781 0.097 0.684
Ni 0.644 0.406 0.238
Y 0.392 0.746 0.646
Ni 0.167 0.406 0.762
Y 0.099 0.746 0.354
Y 0.764 0.895 0.869
Tm 0.477 0.477 0.000
Te 0.741 0.241 0.500


A geometry-optimized Y4Er2TmNi2Te2 structure, computed with PBE-GGA.

Computed properties:
ΔE to the lowest computed polymorph, eV per atom: 0.008
Symmetry: Imm2

a b c (Å): 9.332 9.332 9.332
angles (deg): 156.24 67.03 118.36
Positions (direct):
Tm 0.477 0.477 0.000
Y 0.392 0.746 0.646
Y 0.413 0.097 0.316
Y 0.782 0.097 0.684
Te 0.141 0.141 0.000
Er 0.763 0.895 0.868
Er 0.027 0.895 0.132
Ni 0.165 0.405 0.761
Te 0.742 0.242 0.500
Y 0.100 0.746 0.354
Ni 0.644 0.405 0.239


A geometry-optimized Y2Er2Tm3Ni2Te2 structure, computed with PBE-GGA.

Computed properties:
ΔE to the lowest computed polymorph, eV per atom: 0.002
Symmetry: Imm2

a b c (Å): 9.305 9.305 9.305
angles (deg): 156.24 67.01 118.38
Positions (direct):
Er 0.394 0.747 0.647
Er 0.100 0.747 0.353
Y 0.027 0.895 0.132
Tm 0.781 0.096 0.685
Tm 0.411 0.096 0.315
Te 0.740 0.240 0.500
Y 0.763 0.895 0.868
Ni 0.168 0.405 0.763
Ni 0.642 0.405 0.237
Te 0.142 0.142 0.000
Tm 0.477 0.477 0.000


A geometry-optimized Y2Er2Tm3Ni2Te2 structure, computed with PBE-GGA.

Computed properties:
ΔE to the lowest computed polymorph, eV per atom: 0.005
Symmetry: Imm2

a b c (Å): 9.306 9.306 9.306
angles (deg): 156.24 67.29 118.08
Positions (direct):
Er 0.782 0.096 0.685
Y 0.764 0.895 0.869
Er 0.411 0.096 0.315
Te 0.143 0.143 0.000
Ni 0.639 0.404 0.235
Tm 0.475 0.475 0.000
Tm 0.103 0.749 0.353
Ni 0.169 0.404 0.765
Tm 0.396 0.749 0.647
Te 0.738 0.238 0.500
Y 0.026 0.895 0.131


A geometry-optimized Y2ErTm4Ni2Te2 structure, computed with PBE-GGA.

Computed properties:
ΔE to the lowest computed polymorph, eV per atom: 0.000
Symmetry: Imm2

a b c (Å): 9.320 9.320 9.320
angles (deg): 156.19 66.96 118.46
Positions (direct):
Y 0.099 0.745 0.353
Te 0.742 0.242 0.500
Tm 0.782 0.097 0.685
Tm 0.027 0.895 0.133
Tm 0.762 0.895 0.867
Ni 0.646 0.406 0.239
Tm 0.412 0.097 0.315
Ni 0.167 0.406 0.761
Te 0.140 0.140 0.000
Er 0.477 0.477 0.000
Y 0.392 0.745 0.647


> Which formula does entry 10 have?

Y2Er2Tm3Ni2Te2